No. 1
Entry from Alexandria: a PBEsol-optimized structure of FeRhC2 (meta-GGA SCAN).

abc: 3.6196 3.6196 3.6196
angles: 60.00 60.00 60.00
Positions (direct):
Fe 0.0000 0.0000 0.0000
Rh 0.5000 0.5000 0.5000
C 0.2500 0.2500 0.2500
C 0.7500 0.7500 0.7500

Summary:
Its volume is 33.53 Å³ per cell. As for the magnetic moment: 0.00 μB/f.u. Its energy relative to the elements is 1399 meV per atom. As for the space group: Fm-3m.

No. 2
Entry from Alexandria: a PBEsol-optimized structure of MgTe2H (meta-GGA SCAN).

abc: 6.3015 6.3015 6.3015
angles: 118.70 118.70 92.26
Positions (direct):
Mg 0.0000 0.0000 0.0000
Mg 0.7500 0.2500 0.5000
Te 0.2030 0.6250 0.0780
Te 0.3750 0.4530 0.5780
Te 0.5470 0.1250 0.9220
Te 0.8750 0.7970 0.4220
H 0.2500 0.7500 0.5000
H 0.5000 0.5000 0.0000

Summary:
Its volume is 180.25 Å³ per cell. The value obtained for the offset from the most stable computed form is 236.0 meV/atom. As for the magnetic moment: 0.00 μB/f.u. As for the space group: I-42d.

No. 3
Entry from Alexandria: a PBEsol-optimized structure of Li2CuSiO4 (meta-GGA SCAN).

abc: 4.9775 4.9775 11.3045
angles: 90.00 90.00 120.00
Positions (direct):
Li 0.1175 0.4532 0.4198
Li 0.3357 0.8825 0.0865
Li 0.4532 0.1175 0.5802
Li 0.5468 0.6643 0.7532
Li 0.6643 0.5468 0.2468
Li 0.8825 0.3357 0.9135
Cu 0.0000 0.4582 0.6667
Cu 0.4582 0.0000 0.3333
Cu 0.5418 0.5418 0.0000
Si 0.0000 0.1812 0.1667
Si 0.1812 0.0000 0.8333
Si 0.8188 0.8188 0.5000
O 0.1265 0.4333 0.0573
O 0.1384 0.2924 0.7912
O 0.1540 0.8616 0.4579
O 0.2924 0.1384 0.2088
O 0.3068 0.8735 0.7240
O 0.4333 0.1265 0.9427
O 0.5667 0.6932 0.3907
O 0.6932 0.5667 0.6093
O 0.7076 0.8460 0.1246
O 0.8460 0.7076 0.8754
O 0.8616 0.1540 0.5421
O 0.8735 0.3068 0.2760

Summary:
Its volume is 242.55 Å³ per cell. The value obtained for the offset from the most stable computed form is 11.2 meV/atom. For the formation energy without anion corrections, the calculation gives -2.229 eV/atom. As for the magnetic moment: 0.98 μB/f.u. As for the space group: P3_121.